No. 1
This record from Alexandria via LeMat-Bulk describes Tb2NdTl3Se6 after structural relaxation. The functional is PBE.

abc: 7.353 7.353 8.143
angles: 98.66 98.66 119.99
Atoms (fractional coordinates):
1 Se 0.272 0.272 0.794
2 Tl 0.500 0.500 0.500
3 Se 0.410 0.069 0.207
4 Tl 0.835 0.165 0.500
5 Se 0.590 0.931 0.793
6 Tb 0.333 0.667 0.000
7 Se 0.931 0.590 0.793
8 Nd 0.000 0.000 0.000
9 Tl 0.165 0.835 0.500
10 Se 0.728 0.728 0.206
11 Tb 0.667 0.333 0.000
12 Se 0.069 0.410 0.207

## Properties
volume: 30.3 Å³/atom
spin magnetization: 0.000 μB/atom
electronic total energy: -4.888 eV per atom
formation energy (no corrections): -1.39 eV per atom


No. 2
This record from Alexandria via LeMat-Bulk describes Y2AlIn after structural relaxation. The functional is PBE.

abc: 4.217 4.522 6.090
angles: 68.25 90.00 90.00
Atoms (fractional coordinates):
1 Al 0.000 0.706 0.463
2 In 0.500 0.546 0.783
3 Y 0.000 0.985 0.906
4 Y 0.500 0.263 0.349

## Properties
volume: 27.0 Å³/atom
spin magnetization: 0.000 μB/atom
formation energy from the elements: -0.434 eV/atom
electronic total energy: -5.286 eV per atom


No. 3
This record from Alexandria via LeMat-Bulk describes Tc3HgAs after structural relaxation. The functional is PBE.

abc: 5.100 5.100 5.100
angles: 90.00 90.00 90.00
Atoms (fractional coordinates):
1 Hg 0.000 0.000 0.000
2 As 0.500 0.500 0.500
3 Tc 0.000 0.500 0.000
4 Tc 0.000 0.000 0.500
5 Tc 0.500 0.000 0.000

## Properties
volume: 26.5 Å³/atom
spin magnetization: 2.057 μB/atom
formation energy from the elements: 2.483 eV/atom
electronic total energy: -4.727 eV per atom


No. 4
This record from Alexandria via LeMat-Bulk describes Ba2ErMg3Pb4 after structural relaxation. The functional is PBE.

abc: 5.145 5.145 12.287
angles: 90.00 90.00 90.00
Atoms (fractional coordinates):
1 Mg 0.000 0.000 0.500
2 Mg 0.000 0.500 0.125
3 Pb 0.500 0.000 0.639
4 Mg 0.500 0.000 0.875
5 Er 0.500 0.500 0.500
6 Pb 0.000 0.500 0.361
7 Pb 0.500 0.500 0.000
8 Pb 0.000 0.000 0.000
9 Ba 0.000 0.500 0.767
10 Ba 0.500 0.000 0.233

## Properties
volume: 32.5 Å³/atom
spin magnetization: 0.000 μB/atom
formation energy from the elements: -0.405 eV/atom
electronic total energy: -3.208 eV per atom


> The highest volume belongs to which entry?

Ba2ErMg3Pb4


> Which of these has the highest volume?

Ba2ErMg3Pb4